1.
The following is a GGA-PBE calculation of crystalline Pm4GeAs3 at its relaxed geometry, from Alexandria via LeMat-Bulk.

Unit cell a=5.9992 b=5.9992 c=5.9992 alpha=90.00 beta=90.00 gamma=90.00
Element x y z (fractional)
Pm  0.0000  0.0000  0.0000
Pm  0.0000  0.5000  0.5000
Pm  0.5000  0.0000  0.5000
Pm  0.5000  0.5000  0.0000
Ge  0.5000  0.5000  0.5000
As  0.0000  0.0000  0.5000
As  0.0000  0.5000  0.0000
As  0.5000  0.0000  0.0000

Results
The formation energy is -1.30 eV per atom. For the calculated volume, the calculation gives 216 Å³/cell. Its space group is Pm-3m (221).

2.
The following is a GGA-PBE calculation of crystalline GaSnIrS2 at its relaxed geometry, from Alexandria via LeMat-Bulk.

Unit cell a=3.7293 b=5.3573 c=6.1296 alpha=66.06 beta=76.30 gamma=74.88
Element x y z (fractional)
Ga  0.0000  0.0000  0.0000
Sn  0.5778  0.3460  0.4802
Ir  0.9382  0.4810  0.7146
S  0.6289  0.6714  0.0207
S  0.9685  0.9269  0.4101

Results
For the calculated volume, the calculation gives 107 Å³/cell. Its space group is P1 (1). The formation energy without anion corrections is -1.78 eV per formula unit.

3.
The following is a GGA-PBE calculation of crystalline TmRe2C2 at its relaxed geometry, from Alexandria via LeMat-Bulk.

Unit cell a=5.5569 b=5.5569 c=5.4133 alpha=109.77 beta=109.77 gamma=102.20
Element x y z (fractional)
Tm  0.1269  0.8731  0.7500
Tm  0.8731  0.1269  0.2500
Re  0.2267  0.4544  0.9631
Re  0.4544  0.2267  0.4631
Re  0.5456  0.7733  0.5369
Re  0.7733  0.5456  0.0369
C  0.1850  0.8150  0.2500
C  0.4196  0.5804  0.7500
C  0.5804  0.4196  0.2500
C  0.8150  0.1850  0.7500

Results
The formation energy is -0.04 eV per atom. For the calculated volume, the calculation gives 138 Å³/cell. Its space group is C2/c (15).

| no. | calculated total energy (eV for the cell shown) |
| --- | --- |
| 1 | -47.99 |
| 2 | -25.93 |
| 3 | -95.99 |